Compound: AgBrN2O
Source: Alexandria
Functional: GGA-PBEsol
Structure: optimized geometry

- space-group type = No. 123
- formation energy (no corrections) (eV per formula unit) = 9.74

Cell: 4.1368 4.1368 4.0881 Å, 90.00 90.00 90.00°
Last column: nearest neighbours and their distance in Å.
Fractional positions:
1 O 0.0000 0.0000 0.5000  2 Ag 2.04
2 Br 0.5000 0.5000 0.5000  8 N 2.91, 4 O 2.93
3 Ag 0.0000 0.0000 0.0000  2 O 2.04, 4 N 2.07
4 N 0.0000 0.5000 0.0000  2 Ag 2.07
5 N 0.5000 0.0000 0.0000  2 Ag 2.07

=====

Compound: ErAgTe2
Source: Alexandria
Functional: GGA-PBEsol
Structure: optimized geometry

- space-group type = No. 113
- formation energy (no corrections) (eV per formula unit) = -3.50

Cell: 4.6613 6.8759 6.8759 Å, 90.00 90.00 90.00°
Last column: nearest neighbours and their distance in Å.
Fractional positions:
1 Te 0.3016 0.2024 0.2976  2 Ag 2.85, 3 Er 2.95-3.12
2 Te 0.6984 0.7024 0.2024  2 Ag 2.85, 3 Er 2.95-3.12
3 Te 0.3016 0.7976 0.7024  2 Ag 2.85, 3 Er 2.95-3.12
4 Te 0.6984 0.2976 0.7976  2 Ag 2.85, 3 Er 2.95-3.12
5 Ag 0.0000 0.0000 0.0000  4 Te 2.85
6 Ag 0.0000 0.5000 0.5000  4 Te 2.85
7 Er 0.1793 0.5000 0.0000  6 Te 2.95-3.12
8 Er 0.8207 0.0000 0.5000  6 Te 2.95-3.12

=====

Compound: BeOs2Ru
Source: Alexandria
Functional: GGA-PBEsol
Structure: optimized geometry

- space-group type = No. 10
- formation enthalpy at 0 K (meV/atom) = 120

Cell: 2.6794 3.8572 5.0426 Å, 90.00 103.46 90.00°
Last column: nearest neighbours and their distance in Å.
Fractional positions:
1 Ru 0.5000 0.5000 0.0000  2 Be 2.52, 2 Ru 2.68, 8 Os 2.69-2.70
2 Os 0.8757 0.0000 0.7302  2 Be 2.35, 1 Os 2.56
3 Os 0.1243 0.0000 0.2698  2 Be 2.35, 1 Os 2.56
4 Be 0.5000 0.5000 0.5000  4 Os 2.35, 2 Ru 2.52

=====

Compound: TlTeN2Cl
Source: Alexandria
Functional: GGA-PBEsol
Structure: optimized geometry

- space-group type = No. 123
- formation energy (no corrections) (eV per formula unit) = 9.71

Cell: 4.2099 4.2099 5.5024 Å, 90.00 90.00 90.00°
Last column: nearest neighbours and their distance in Å.
Fractional positions:
1 N 0.0000 0.5000 0.0000  2 Cl 2.10
2 N 0.5000 0.0000 0.0000  2 Cl 2.10
3 Tl 0.5000 0.5000 0.5000  4 Te 2.98
4 Te 0.0000 0.0000 0.5000  2 Cl 2.75, 4 Tl 2.98
5 Cl 0.0000 0.0000 0.0000  4 N 2.10

=====

Compound: ReGeS3
Source: Alexandria
Functional: GGA-PBEsol
Structure: optimized geometry

- space-group type = No. 221
- formation energy (no corrections) (eV per formula unit) = 1.77

Cell: 4.6015 4.6015 4.6015 Å, 90.00 90.00 90.00°
Last column: nearest neighbours and their distance in Å.
Fractional positions:
1 Re 0.0000 0.0000 0.0000  6 S 2.30
2 Ge 0.5000 0.5000 0.5000  12 S 3.25
3 S 0.0000 0.5000 0.0000  2 Re 2.30
4 S 0.0000 0.0000 0.5000  2 Re 2.30
5 S 0.5000 0.0000 0.0000  2 Re 2.30

=====

Compound: ReTcTe
Source: Alexandria
Functional: GGA-PBEsol
Structure: optimized geometry

- space-group type = No. 216
- formation energy (no corrections) (eV per formula unit) = 1.67

Cell: 4.2894 4.2894 4.2894 Å, 60.00 60.00 60.00°
Last column: nearest neighbours and their distance in Å.
Fractional positions:
1 Re 0.5000 0.5000 0.5000  4 Tc 2.63
2 Tc 0.2500 0.2500 0.2500  4 Re 2.63, 4 Te 2.63
3 Te 0.0000 0.0000 0.0000  4 Tc 2.63

=====

Compound: CoPtW
Source: Alexandria
Functional: GGA-PBEsol
Structure: optimized geometry

- space-group type = No. 44
- formation enthalpy at 0 K (meV/atom) = -180

Cell: 2.6916 3.6952 4.6593 Å, 113.36 106.79 90.00°
Last column: nearest neighbours and their distance in Å.
Fractional positions:
1 Co 0.9936 0.9936 0.9872  5 W 2.60-2.83, 5 Pt 2.67, 2 Co 2.69
2 Pt 0.6646 0.6646 0.3291  5 W 2.62-2.70, 5 Co 2.67, 2 Pt 2.69
3 W 0.3418 0.3418 0.6837  5 Co 2.60-2.83, 5 Pt 2.62-2.70, 2 W 2.69

=====

Compound: HoCuSn
Source: Alexandria
Functional: GGA-PBEsol
Structure: optimized geometry

- space-group type = No. 186
- formation enthalpy at 0 K (meV/atom) = -639

Cell: 4.4604 4.4604 7.1136 Å, 90.00 90.00 120.00°
Last column: nearest neighbours and their distance in Å.
Fractional positions:
1 Ho 0.0000 0.0000 0.5068  3 Cu 2.86, 3 Sn 3.05
2 Ho 0.0000 0.0000 0.0068  3 Cu 2.86, 3 Sn 3.05
3 Cu 0.6667 0.3333 0.1832  4 Sn 2.66-2.90, 3 Ho 2.86
4 Cu 0.3333 0.6667 0.6832  4 Sn 2.66-2.90, 3 Ho 2.86
5 Sn 0.6667 0.3333 0.7760  4 Cu 2.66-2.90
6 Sn 0.3333 0.6667 0.2760  4 Cu 2.66-2.90

=====

Compound: La2SiAg
Source: Alexandria
Functional: GGA-PBEsol
Structure: optimized geometry

- space-group type = No. 123
- formation energy (no corrections) (eV per formula unit) = -1.63

Cell: 3.6321 5.2779 5.2779 Å, 90.00 90.00 90.00°
Last column: nearest neighbours and their distance in Å.
Fractional positions:
1 Si 0.5000 0.0000 0.0000  8 La 3.20
2 Ag 0.5000 0.5000 0.5000  8 La 3.20
3 La 0.0000 0.0000 0.5000  4 Ag 3.20, 4 Si 3.20
4 La 0.0000 0.5000 0.0000  4 Ag 3.20, 4 Si 3.20

=====

Compound: ZnGaNO
Source: Alexandria
Functional: GGA-PBEsol
Structure: optimized geometry

- space-group type = No. 156
- formation energy (no corrections) (eV per formula unit) = -3.84

Cell: 6.4538 6.4538 10.3903 Å, 90.00 90.00 120.00°
Last column: nearest neighbours and their distance in Å.
Fractional positions:
1 Zn 0.0000 0.0000 0.0058  4 O 2.00-2.02
2 Zn 0.8389 0.1611 0.2624  1 N 1.89, 2 O 1.97
3 Zn 0.8389 0.6778 0.2624  1 N 1.89, 2 O 1.97
4 Zn 0.9906 0.4953 0.5089  2 N 1.95, 2 O 1.96-2.15
5 Zn 0.3222 0.1611 0.2624  1 N 1.89, 2 O 1.97
6 Zn 0.5047 0.4953 0.5089  2 N 1.95, 2 O 1.96-2.15
7 Zn 0.3333 0.6667 0.7428  1 O 1.99, 3 N 2.03
8 Zn 0.5047 0.0094 0.5089  2 N 1.95, 2 O 1.96-2.15
9 Ga 0.3333 0.6667 0.2525  3 O 1.87, 1 N 1.96
10 Ga 0.4972 0.5028 0.9933  2 N 1.87-1.97, 2 O 1.95
11 Ga 0.0055 0.5028 0.9933  2 N 1.87-1.97, 2 O 1.95
12 Ga 0.8275 0.1725 0.7440  3 N 1.87-1.95, 1 O 2.06
13 Ga 0.0000 0.0000 0.5034  4 N 1.91-1.94
14 Ga 0.3449 0.1725 0.7440  3 N 1.87-1.95, 1 O 2.06
15 Ga 0.8275 0.6551 0.7440  3 N 1.87-1.95, 1 O 2.06
16 Ga 0.4972 0.9945 0.9933  2 N 1.87-1.97, 2 O 1.95
17 N 0.0000 0.0000 0.3163  3 Zn 1.89, 1 Ga 1.94
18 N 0.8385 0.6771 0.5641  2 Ga 1.87-1.91, 2 Zn 1.95
19 N 0.8385 0.1615 0.5641  2 Ga 1.87-1.91, 2 Zn 1.95
20 N 0.5031 0.0062 0.8133  3 Ga 1.87-1.95, 1 Zn 2.03
21 N 0.3229 0.1615 0.5641  2 Ga 1.87-1.91, 2 Zn 1.95
22 N 0.3333 0.6667 0.0637  4 Ga 1.96-1.97
23 N 0.9938 0.4969 0.8133  3 Ga 1.87-1.95, 1 Zn 2.03
24 N 0.5031 0.4969 0.8133  3 Ga 1.87-1.95, 1 Zn 2.03
25 O 0.4941 0.9881 0.3021  1 Ga 1.87, 2 Zn 1.97
26 O 0.8258 0.6515 0.0570  2 Ga 1.95, 2 Zn 2.02-2.14
27 O 0.3333 0.6667 0.5510  4 Zn 1.96-1.99
28 O 0.0000 0.0000 0.8131  1 Zn 2.00, 3 Ga 2.06
29 O 0.4941 0.5059 0.3021  1 Ga 1.87, 2 Zn 1.97
30 O 0.3485 0.1742 0.0570  2 Ga 1.95, 2 Zn 2.02-2.14
31 O 0.8258 0.1742 0.0570  2 Ga 1.95, 2 Zn 2.02-2.14
32 O 0.0119 0.5059 0.3021  1 Ga 1.87, 2 Zn 1.97

=====

Compound: Ca2Hg2Bi
Source: Alexandria
Functional: GGA-PBEsol
Structure: optimized geometry

- space-group type = No. 127
- formation enthalpy at 0 K (meV/atom) = -584

Cell: 3.7972 8.4100 8.4100 Å, 90.00 90.00 90.00°
Last column: nearest neighbours and their distance in Å.
Fractional positions:
1 Ca 0.5000 0.1711 0.6711  6 Hg 3.08-3.15
2 Ca 0.5000 0.6711 0.8289  6 Hg 3.08-3.15
3 Ca 0.5000 0.8289 0.3289  6 Hg 3.08-3.15
4 Ca 0.5000 0.3289 0.1711  6 Hg 3.08-3.15
5 Bi 0.0000 0.0000 0.0000  4 Hg 3.33, 8 Ca 3.65
6 Bi 0.0000 0.5000 0.5000  4 Hg 3.33, 8 Ca 3.65
7 Hg 0.0000 0.3753 0.8753  1 Hg 2.97, 6 Ca 3.08-3.15
8 Hg 0.0000 0.8753 0.6247  1 Hg 2.97, 6 Ca 3.08-3.15
9 Hg 0.0000 0.6247 0.1247  1 Hg 2.97, 6 Ca 3.08-3.15
10 Hg 0.0000 0.1247 0.3753  1 Hg 2.97, 6 Ca 3.08-3.15

=====

Compound: Sc3TaRu
Source: Alexandria
Functional: GGA-PBEsol
Structure: optimized geometry

- space-group type = No. 221
- formation enthalpy at 0 K (meV/atom) = 533

Cell: 4.8086 4.8086 4.8086 Å, 90.00 90.00 90.00°
Last column: nearest neighbours and their distance in Å.
Fractional positions:
1 Sc 0.0000 0.5000 0.0000  2 Ru 2.40
2 Sc 0.0000 0.0000 0.5000  2 Ru 2.40
3 Sc 0.5000 0.0000 0.0000  2 Ru 2.40
4 Ru 0.0000 0.0000 0.0000  6 Sc 2.40
5 Ta 0.5000 0.5000 0.5000  12 Sc 3.40